1.
Computed, not measured: an optimized crystal structure of RbCrW3 at the PBEsol level of DFT.

Output
magnetization: 0.780 μB per atom
symmetry: Pm-3m
V: 19.64 A^3/atom
polymorph energy (0 for the lowest one): 1876 meV/atom

Cell and atoms, written as extended XYZ:
```
5
Lattice="4.6135 0.0000 0.0000 0.0000 4.6135 0.0000 0.0000 0.0000 4.6135" Properties=species:S:1:pos:R:3 pbc="T T T"
W 0.0000 0.0000 2.3067
W 0.0000 2.3067 0.0000
W 2.3067 0.0000 0.0000
Rb 0.0000 0.0000 0.0000
Cr 2.3067 2.3067 2.3067
```



2.
Computed, not measured: an optimized crystal structure of Mo2IrPd2 at the PBEsol level of DFT.

Output
magnetization: 0.000 μB per atom
total DFT energy (no corrections): -8.6184 eV per atom
symmetry: I4/mmm
V: 16.03 A^3/atom

Cell and atoms, written as extended XYZ:
```
5
Lattice="-1.9900 -2.9941 0.2904 2.4732 -1.4303 2.2016 -3.1671 4.6275 3.6095" Properties=species:S:1:pos:R:3 pbc="T T T"
Pd -0.2262 0.4925 3.5286
Ir 0.0000 0.0000 0.0000
Mo -2.3977 1.9796 3.9796
Mo -0.2862 -1.7765 2.1219
Pd -2.4578 -0.2894 2.5730
```



3.
Computed, not measured: an optimized crystal structure of LaAuBr2 at the PBEsol level of DFT.

Output
formation energy from raw total energies: -4.47 eV per formula unit
magnetization: 0.000 μB per atom
symmetry: F-43m
V: 24.56 A^3/atom
polymorph energy (0 for the lowest one): 0 meV/atom

Cell and atoms, written as extended XYZ:
```
4
Lattice="-0.0500 -5.1774 -0.1400 1.2238 -2.7173 4.2364 -3.6704 -2.6242 2.5435" Properties=species:S:1:pos:R:3 pbc="T T T"
Br 0.0000 0.0000 0.0000
Au -1.2483 -5.2595 3.3199
Br -1.8725 -7.8892 4.9799
La -0.6242 -2.6297 1.6600
```



4.
Computed, not measured: an optimized crystal structure of MoIr3 at the PBEsol level of DFT.

Output
magnetization: 0.000 μB per atom
symmetry: Pmmn
V: 14.26 A^3/atom
polymorph energy (0 for the lowest one): 38 meV/atom

Cell and atoms, written as extended XYZ:
```
24
Lattice="4.7343 0.0000 0.0000 0.0000 5.4498 0.0000 0.0000 0.0000 13.2645" Properties=species:S:1:pos:R:3 pbc="T T T"
Ir 3.1559 4.0902 8.8386
Ir 1.5785 1.3653 11.0582
Ir 3.1559 4.0902 4.4260
Ir 2.3514 0.0000 6.6323
Ir 1.5785 4.0845 11.0582
Mo 0.8210 0.0000 8.8073
Ir 0.0038 4.0992 0.0000
Ir 0.0038 1.3506 0.0000
Ir 3.9358 0.0000 11.0864
Ir 3.1559 1.3596 4.4260
Mo 2.3726 2.7249 6.6323
Ir 3.1559 1.3596 8.8386
Ir 4.7305 1.3743 6.6323
Ir 4.7305 4.0756 6.6323
Mo 0.8210 0.0000 4.4572
Mo 2.3617 0.0000 0.0000
Mo 3.9134 2.7249 11.0895
Ir 3.9358 0.0000 2.1782
Ir 2.3829 2.7249 0.0000
Ir 0.7986 2.7249 4.4541
Ir 1.5785 1.3653 2.2063
Mo 3.9134 2.7249 2.1751
Ir 0.7986 2.7249 8.8105
Ir 1.5785 4.0845 2.2063
```



5.
Computed, not measured: an optimized crystal structure of Li3MnB2O6 at the PBEsol level of DFT.

Output
formation energy from raw total energies: -26.05 eV per formula unit
magnetization: 0.333 μB per atom
symmetry: P-1
V: 9.32 A^3/atom

Cell and atoms, written as extended XYZ:
```
24
Lattice="-3.9432 2.6382 1.9037 -3.1122 -1.1710 -5.0791 -1.3815 -5.6235 4.8589" Properties=species:S:1:pos:R:3 pbc="T T T"
Mn -2.2751 -0.5722 1.7718
Li -5.8165 1.2171 -1.7886
B -4.4120 -0.0500 2.6800
B -4.7311 -5.2042 1.7853
Li -3.4530 -3.0827 1.4254
Li -4.9839 -1.0737 0.2581
O -6.7551 -1.8452 0.4274
B -4.0250 -4.1064 -0.9965
Mn -6.1619 -3.5842 -0.0883
O -4.6900 -3.2310 4.6317
O -5.6239 -4.1458 1.8371
O -6.4029 -0.4232 -2.4578
Li -2.6204 -5.3735 3.4721
O -3.7469 -0.9253 -2.9481
O -2.0340 -3.7332 4.1413
O -5.0473 0.8280 0.0412
B -3.7058 1.0479 -0.1018
Li -5.5490 -2.5311 2.9428
O -1.6818 -2.3111 1.2561
O -4.2911 -2.8286 -0.4663
O -2.8130 -0.0105 -0.1536
Li -2.8879 -1.6252 -1.2593
O -3.3896 -4.9844 1.6424
O -4.1458 -1.3278 2.1498
```



6.
Computed, not measured: an optimized crystal structure of K2CoSi at the PBEsol level of DFT.

Output
formation energy from raw total energies: 3.75 eV per formula unit
magnetization: 0.449 μB per atom
symmetry: P4/mmm
V: 21.42 A^3/atom

Cell and atoms, written as extended XYZ:
```
4
Lattice="4.0003 0.0000 0.0000 0.0000 4.0003 0.0000 0.0000 0.0000 5.3543" Properties=species:S:1:pos:R:3 pbc="T T T"
Si 2.0001 2.0001 2.6771
Co 0.0000 0.0000 2.6771
K 2.0001 0.0000 0.0000
K 0.0000 2.0001 0.0000
```



7.
Computed, not measured: an optimized crystal structure of GdWC2 at the PBEsol level of DFT.

Output
magnetization: 1.718 μB per atom
total DFT energy (no corrections): -12.2006 eV per atom
symmetry: Pnma
V: 12.92 A^3/atom

Cell and atoms, written as extended XYZ:
```
16
Lattice="3.3802 0.0000 0.0000 0.0000 5.6995 0.0000 0.0000 0.0000 10.7306" Properties=species:S:1:pos:R:3 pbc="T T T"
C 2.5352 1.5951 5.5477
C 0.8451 1.2547 0.1824
C 0.8451 0.9194 8.0244
W 0.8451 5.1725 9.5580
C 2.5352 1.9304 2.6591
W 2.5352 0.5270 1.1726
Gd 2.5352 2.3696 9.2528
W 2.5352 3.3767 4.1927
C 0.8451 4.1044 5.1829
C 2.5352 4.7801 2.7062
C 0.8451 3.7691 8.0715
Gd 0.8451 0.4802 3.8875
Gd 2.5352 5.2193 6.8431
W 0.8451 2.3228 6.5379
Gd 0.8451 3.3299 1.4778
C 2.5352 4.4448 10.5482
```



8.
Computed, not measured: an optimized crystal structure of LiTbW2O8 at the PBEsol level of DFT.

Output
formation energy from raw total energies: -29.97 eV per formula unit
magnetization: 0.000 μB per atom
symmetry: I-4
V: 12.02 A^3/atom
polymorph energy (0 for the lowest one): 35 meV/atom

Cell and atoms, written as extended XYZ:
```
12
Lattice="5.1379 0.0000 0.0000 0.0000 5.1379 0.0000 -2.5689 -2.5689 5.4643" Properties=species:S:1:pos:R:3 pbc="T T T"
Tb 0.0000 2.5689 2.7322
O 1.3058 4.2828 1.7671
O 1.7139 1.2631 3.6972
W 2.5689 0.0000 2.7322
O -1.7139 -1.2631 3.6972
O 1.3203 1.7342 0.9975
O -0.8347 1.2487 4.4669
W 2.5689 2.5689 0.0000
O 0.8347 -1.2487 4.4669
Li 0.0000 0.0000 0.0000
O 3.8176 3.4036 0.9975
O 3.8320 0.8550 1.7671
```



9.
Computed, not measured: an optimized crystal structure of TlHgSb at the PBEsol level of DFT.

Output
formation energy from raw total energies: 0.22 eV per formula unit
magnetization: 0.000 μB per atom
symmetry: F-43m
V: 30.27 A^3/atom

Cell and atoms, written as extended XYZ:
```
3
Lattice="5.0454 0.0000 0.0000 2.5227 4.3695 0.0000 2.5227 1.4565 4.1196" Properties=species:S:1:pos:R:3 pbc="T T T"
Tl 0.0000 0.0000 0.0000
Hg 5.0454 2.9130 2.0598
Sb 2.5227 1.4565 1.0299
```



10.
Computed, not measured: an optimized crystal structure of RbZrCd2Sb at the PBEsol level of DFT.

Output
formation energy from raw total energies: 0.58 eV per formula unit
magnetization: 0.000 μB per atom
symmetry: P4/mmm
V: 35.21 A^3/atom

Cell and atoms, written as extended XYZ:
```
5
Lattice="-4.9223 2.3235 -0.6707 -0.3378 -2.2175 -5.2025 -2.4752 -4.6280 2.1334" Properties=species:S:1:pos:R:3 pbc="T T T"
Rb -3.8677 -2.2610 -1.8699
Sb -2.4612 1.1617 -0.3354
Zr 0.0000 0.0000 0.0000
Cd -0.1689 -1.1088 -2.6012
Cd -1.2376 -2.3140 1.0667
```



11.
Computed, not measured: an optimized crystal structure of Zr4Br4O at the PBEsol level of DFT.

Output
formation energy from raw total energies: -13.52 eV per formula unit
magnetization: 0.000 μB per atom
symmetry: R3m
V: 23.47 A^3/atom

Cell and atoms, written as extended XYZ:
```
9
Lattice="3.5479 0.0000 0.0000 1.7739 3.0726 0.0000 1.7739 1.0242 19.3772" Properties=species:S:1:pos:R:3 pbc="T T T"
O 3.5479 2.0484 13.6505
Zr 3.5479 2.0484 15.7776
Br 5.3218 3.0726 17.6367
Br 1.7739 1.0242 7.8378
Br 5.3218 3.0726 11.3776
Zr 5.3218 3.0726 5.9947
Zr 1.7739 1.0242 13.3197
Zr 3.5479 2.0484 3.6844
Br 1.7739 1.0242 1.8421
```



12.
Computed, not measured: an optimized crystal structure of YSiPt at the PBEsol level of DFT.

Output
formation energy from raw total energies: -3.58 eV per formula unit
magnetization: 0.000 μB per atom
symmetry: P-6m2
V: 18.81 A^3/atom

Cell and atoms, written as extended XYZ:
```
3
Lattice="3.6403 0.0000 0.0000 0.0000 4.2305 0.0000 0.0000 -2.1153 3.6637" Properties=species:S:1:pos:R:3 pbc="T T T"
Y 1.8202 2.1153 1.2212
Pt 0.0000 0.0000 0.0000
Si 0.0000 0.0000 2.4425
```



Look up the magnetization of the seventh one.
1.718 μB per atom



V of number 9 (TlHgSb)?
30.27 A^3/atom



Among the records above, which one has the highest V?
RbZrCd2Sb



Which formula does entry 5 have?
Li3MnB2O6